Entry from Alexandria via LeMat-Bulk: an optimized crystal structure of Ba2LaBr (PBE).

DOS at the Fermi energy in states/eV/cell: 6.065
Total energy in Ry/atom: -0.2112
Calculated density in g cm⁻³: 4.81
Energy relative to the elements, uncorrected in eV per atom: -0.26

Cell lengths 4.058, 6.128, 6.843 Å; angles 90.00, 90.00, 90.00 degrees
Element x y z (fractional)
Ba 0.000 0.000 0.000
Ba 0.500 0.000 0.500
La 0.000 0.500 0.500
Br 0.500 0.500 0.000